VASP calculation (PBE-GGA) on a geometry-optimized Rb2MgCdI6 structure.

Structure (CIF):
```
data_Rb2MgCdI6
_chemical_formula_sum 'Rb2 Mg1 Cd1 I6'
_cell_length_a 8.264
_cell_length_b 8.264
_cell_length_c 8.270
_cell_angle_alpha 61.27
_cell_angle_beta 61.33
_cell_angle_gamma 61.36
_space_group_name_H-M_alt 'P 1'
_space_group_IT_number 1
_space_group_name_Hall 'P 1'
loop_
_atom_site_label
_atom_site_type_symbol
_atom_site_fract_x
_atom_site_fract_y
_atom_site_fract_z
Rb1 Rb 0.000 0.000 0.000
Rb2 Rb 0.498 0.500 0.498
Mg1 Mg 0.247 0.249 0.248
Cd1 Cd 0.747 0.749 0.748
I1 I 0.003 0.559 0.431
I2 I 0.065 0.496 0.936
I3 I 0.430 0.001 0.559
I4 I 0.492 0.938 0.065
I5 I 0.560 0.430 0.003
I6 I 0.935 0.067 0.493
```

Summary:
Final energy: -2.407 eV per atom
Uncorrected formation energy: -1.0324 eV per atom
V: 41.12 A^3/atom
Total magnetic moment: 0.00 Bohr magnetons per cell

=====

VASP calculation (PBE-GGA) on a geometry-optimized Rb2CaTeF6 structure.

Structure (CIF):
```
data_Rb2CaTeF6
_chemical_formula_sum 'Rb4 Ca2 Te2 F12'
_cell_length_a 6.948
_cell_length_b 6.948
_cell_length_c 8.806
_cell_angle_alpha 90.00
_cell_angle_beta 90.00
_cell_angle_gamma 90.00
_space_group_name_H-M_alt 'I 4/m m m'
_space_group_IT_number 139
_space_group_name_Hall '-I 4 2'
loop_
_atom_site_label
_atom_site_type_symbol
_atom_site_fract_x
_atom_site_fract_y
_atom_site_fract_z
Rb1 Rb 0.000 0.500 0.250
Ca1 Ca 0.000 0.000 0.000
Te1 Te 0.000 0.000 0.500
F1 F 0.000 0.000 0.260
F2 F 0.227 0.227 0.000
```

Summary:
Final energy: -4.403 eV per atom
Uncorrected formation energy: -2.5725 eV per atom
V: 21.26 A^3/atom
Total magnetic moment: 4.00 Bohr magnetons per cell

=====

VASP calculation (PBE-GGA) on a geometry-optimized In3BiRu structure.

Structure (CIF):
```
data_In3BiRu
_chemical_formula_sum 'In3 Bi1 Ru1'
_cell_length_a 5.195
_cell_length_b 5.195
_cell_length_c 5.195
_cell_angle_alpha 90.00
_cell_angle_beta 90.00
_cell_angle_gamma 90.00
_space_group_name_H-M_alt 'P m -3 m'
_space_group_IT_number 221
_space_group_name_Hall '-P 4 2 3'
loop_
_atom_site_label
_atom_site_type_symbol
_atom_site_fract_x
_atom_site_fract_y
_atom_site_fract_z
In1 In 0.000 0.000 0.500
Bi1 Bi 0.500 0.500 0.500
Ru1 Ru 0.000 0.000 0.000
```

Summary:
Final energy: -4.013 eV per atom
Formation enthalpy at 0 K: 0.2610 eV per atom
V: 28.04 A^3/atom
Polymorph energy (0 for the lowest one): 0.0000 eV per atom
Total magnetic moment: 1.08 Bohr magnetons per cell

=====

VASP calculation (PBE-GGA) on a geometry-optimized PaGa3Rh4 structure.

Structure (CIF):
```
data_PaGa3Rh4
_chemical_formula_sum 'Pa3 Ga9 Rh12'
_cell_length_a 4.2205
_cell_length_b 4.2205
_cell_length_c 25.0579
_cell_angle_alpha 90.00
_cell_angle_beta 90.00
_cell_angle_gamma 120.00
_space_group_name_H-M_alt 'R -3 m'
_space_group_IT_number 166
_space_group_name_Hall '-R 3 2"'
loop_
_atom_site_label
_atom_site_type_symbol
_atom_site_fract_x
_atom_site_fract_y
_atom_site_fract_z
Pa1 Pa 0.0000 0.0000 0.0000
Ga1 Ga 0.0000 0.0000 0.2414
Ga2 Ga 0.0000 0.0000 0.5000
Rh1 Rh 0.0000 0.0000 0.1315
Rh2 Rh 0.0000 0.0000 0.3968
```

Summary:
Final energy: -6.719 eV per atom
Formation enthalpy at 0 K: -0.7215 eV per atom
V: 16.11 A^3/atom
Total magnetic moment: 0.00 Bohr magnetons per cell

=====

VASP calculation (PBE-GGA) on a geometry-optimized Ni4B3 structure.

Structure (CIF):
```
data_Ni4B3
_chemical_formula_sum 'Ni16 B12'
_cell_length_a 11.951
_cell_length_b 3.001
_cell_length_c 6.581
_cell_angle_alpha 90.00
_cell_angle_beta 90.00
_cell_angle_gamma 90.00
_space_group_name_H-M_alt 'P n m a'
_space_group_IT_number 62
_space_group_name_Hall '-P 2ac 2n'
loop_
_atom_site_label
_atom_site_type_symbol
_atom_site_fract_x
_atom_site_fract_y
_atom_site_fract_z
Ni1 Ni 0.050 0.250 0.249
Ni2 Ni 0.123 0.250 0.829
Ni3 Ni 0.149 0.750 0.506
Ni4 Ni 0.200 0.750 0.118
B1 B 0.025 0.250 0.561
B2 B 0.039 0.750 0.022
B3 B 0.243 0.250 0.315
```

Summary:
Final energy: -6.444 eV per atom
Formation enthalpy at 0 K: -0.2787 eV per atom
V: 8.43 A^3/atom
Total magnetic moment: 0.00 Bohr magnetons per cell

=====

VASP calculation (PBE-GGA) on a geometry-optimized Y2PaCl structure.

Structure (CIF):
```
data_Y2PaCl
_chemical_formula_sum 'Y6 Pa3 Cl3'
_cell_length_a 3.2988
_cell_length_b 3.2988
_cell_length_c 33.0649
_cell_angle_alpha 90.00
_cell_angle_beta 90.00
_cell_angle_gamma 120.00
_space_group_name_H-M_alt 'R -3 m'
_space_group_IT_number 166
_space_group_name_Hall '-R 3 2"'
loop_
_atom_site_label
_atom_site_type_symbol
_atom_site_fract_x
_atom_site_fract_y
_atom_site_fract_z
Y1 Y 0.0000 0.0000 0.0986
Pa1 Pa 0.0000 0.0000 0.0000
Cl1 Cl 0.0000 0.0000 0.5000
```

Summary:
Final energy: -6.358 eV per atom
Uncorrected formation energy: -0.2902 eV per atom
V: 25.97 A^3/atom
Total magnetic moment: 0.00 Bohr magnetons per cell

=====

VASP calculation (PBE-GGA) on a geometry-optimized CaCuP2 structure.

Structure (CIF):
```
data_CaCuP2
_chemical_formula_sum 'Ca2 Cu2 P4'
_cell_length_a 4.032
_cell_length_b 6.442
_cell_length_c 6.136
_cell_angle_alpha 90.00
_cell_angle_beta 90.00
_cell_angle_gamma 90.00
_space_group_name_H-M_alt 'C m m m'
_space_group_IT_number 65
_space_group_name_Hall '-C 2 2'
loop_
_atom_site_label
_atom_site_type_symbol
_atom_site_fract_x
_atom_site_fract_y
_atom_site_fract_z
Ca1 Ca 0.000 0.000 0.000
Cu1 Cu 0.000 0.000 0.500
P1 P 0.000 0.500 0.315
```

Summary:
Final energy: -4.511 eV per atom
Formation enthalpy at 0 K: -0.2812 eV per atom
V: 19.92 A^3/atom
Total magnetic moment: 0.00 Bohr magnetons per cell

=====

VASP calculation (PBE-GGA) on a geometry-optimized Dy2Tm5Pd4 structure.

Structure (CIF):
```
data_Dy2Tm5Pd4
_chemical_formula_sum 'Dy4 Tm10 Pd8'
_cell_length_a 22.981
_cell_length_b 3.662
_cell_length_c 6.830
_cell_angle_alpha 90.00
_cell_angle_beta 96.19
_cell_angle_gamma 90.00
_space_group_name_H-M_alt 'C 1 2/m 1'
_space_group_IT_number 12
_space_group_name_Hall '-C 2y'
loop_
_atom_site_label
_atom_site_type_symbol
_atom_site_fract_x
_atom_site_fract_y
_atom_site_fract_z
Dy1 Dy 0.226 0.000 0.254
Tm1 Tm 0.000 0.000 0.000
Tm2 Tm 0.103 0.500 0.398
Tm3 Tm 0.130 0.500 0.906
Pd1 Pd 0.021 0.500 0.700
Pd2 Pd 0.178 0.000 0.646
```

Summary:
Final energy: -5.274 eV per atom
Formation enthalpy at 0 K: -0.5162 eV per atom
V: 25.97 A^3/atom
Total magnetic moment: 0.00 Bohr magnetons per cell

=====

VASP calculation (PBE-GGA) on a geometry-optimized Ho2InPb4 structure.

Structure (CIF):
```
data_Ho2InPb4
_chemical_formula_sum 'Ho4 In2 Pb8'
_cell_length_a 8.619
_cell_length_b 10.075
_cell_length_c 4.761
_cell_angle_alpha 90.00
_cell_angle_beta 90.00
_cell_angle_gamma 90.00
_space_group_name_H-M_alt 'C m m m'
_space_group_IT_number 65
_space_group_name_Hall '-C 2 2'
loop_
_atom_site_label
_atom_site_type_symbol
_atom_site_fract_x
_atom_site_fract_y
_atom_site_fract_z
Ho1 Ho 0.000 0.214 0.000
In1 In 0.000 0.000 0.500
Pb1 Pb 0.199 0.500 0.000
Pb2 Pb 0.250 0.250 0.500
```

Summary:
Final energy: -4.089 eV per atom
Formation enthalpy at 0 K: -0.2712 eV per atom
V: 29.53 A^3/atom
Total magnetic moment: 0.00 Bohr magnetons per cell

=====

VASP calculation (PBE-GGA) on a geometry-optimized Na6O structure.

Structure (CIF):
```
data_Na6O
_chemical_formula_sum 'Na36 O6'
_cell_length_a 6.925
_cell_length_b 19.072
_cell_length_c 9.891
_cell_angle_alpha 90.00
_cell_angle_beta 90.00
_cell_angle_gamma 90.00
_space_group_name_H-M_alt 'C m m 2'
_space_group_IT_number 35
_space_group_name_Hall 'C 2 -2'
loop_
_atom_site_label
_atom_site_type_symbol
_atom_site_fract_x
_atom_site_fract_y
_atom_site_fract_z
Na1 Na 0.000 0.000 0.011
Na2 Na 0.000 0.078 0.470
Na3 Na 0.000 0.269 0.000
Na4 Na 0.000 0.500 0.514
Na5 Na 0.216 0.398 0.801
Na6 Na 0.246 0.083 0.211
Na7 Na 0.250 0.250 0.345
Na8 Na 0.250 0.250 0.698
O1 O 0.000 0.000 0.256
O2 O 0.000 0.311 0.792
```

Summary:
Final energy: -2.231 eV per atom
Uncorrected formation energy: -0.3924 eV per atom
V: 31.10 A^3/atom
Total magnetic moment: 0.00 Bohr magnetons per cell

=====

VASP calculation (PBE-GGA) on a geometry-optimized Nd3Tm4Sn4 structure.

Structure (CIF):
```
data_Nd3Tm4Sn4
_chemical_formula_sum 'Nd6 Tm8 Sn8'
_cell_length_a 10.822
_cell_length_b 4.851
_cell_length_c 12.708
_cell_angle_alpha 90.00
_cell_angle_beta 90.00
_cell_angle_gamma 90.00
_space_group_name_H-M_alt 'A m m 2'
_space_group_IT_number 38
_space_group_name_Hall 'A 2 -2'
loop_
_atom_site_label
_atom_site_type_symbol
_atom_site_fract_x
_atom_site_fract_y
_atom_site_fract_z
Nd1 Nd 0.000 0.000 0.000
Nd2 Nd 0.326 0.000 0.105
Tm1 Tm 0.000 0.000 0.295
Tm2 Tm 0.249 0.000 0.809
Tm3 Tm 0.500 0.000 0.399
Sn1 Sn 0.000 0.000 0.663
Sn2 Sn 0.218 0.000 0.451
Sn3 Sn 0.500 0.000 0.693
```

Summary:
Final energy: -4.875 eV per atom
Formation enthalpy at 0 K: -0.4934 eV per atom
V: 30.32 A^3/atom
Total magnetic moment: 0.00 Bohr magnetons per cell